# 1
! PBE RbSc2Ti, relaxed; values from VASP
&SYSTEM
  ibrav = 0, nat = 8, ntyp = 3
/
ATOMIC_SPECIES
Rb 85.47 Rb.upf
Ti 47.87 Ti.upf
Sc 44.96 Sc.upf
CELL_PARAMETERS angstrom
8.4470 0.0000 0.0000
0.0000 8.4470 0.0000
4.2235 4.2235 3.3014
ATOMIC_POSITIONS crystal
Rb 0.0000 0.0000 0.0000
Ti 0.5000 0.5000 0.0000
Rb 0.7500 0.2500 0.5000
Sc 0.8750 0.8434 0.7500
Sc 0.3750 0.4066 0.7500
Sc 0.1566 0.6250 0.2500
Sc 0.5934 0.1250 0.2500
Ti 0.2500 0.7500 0.5000
! **Energy of formation from the pure elements**: 4.6 eV/f.u.
! **Excess energy over the best structure of this formula in the dataset**: 191 meV per atom
! **Space group**: I-42d

# 2
! PBE RbScTi, relaxed; values from VASP
&SYSTEM
  ibrav = 0, nat = 6, ntyp = 3
/
ATOMIC_SPECIES
Sc 44.96 Sc.upf
Rb 85.47 Rb.upf
Ti 47.87 Ti.upf
CELL_PARAMETERS angstrom
16.7195 0.0000 -0.0050
2.6802 2.3621 -3.0878
-2.6802 2.3621 3.0878
ATOMIC_POSITIONS crystal
Sc 0.6576 0.6371 0.3629
Rb 0.4226 0.6185 0.3815
Sc 0.7813 0.8046 0.1954
Ti 0.8734 0.3477 0.6523
Rb 0.0921 0.7204 0.2796
Ti 0.7788 0.1413 0.8587
! **Energy of formation from the pure elements**: 1.5 eV/f.u.
! **Excess energy over the best structure of this formula in the dataset**: 187 meV per atom
! **Space group**: Cm

# 3
! PBE RbScTi, relaxed; values from VASP
&SYSTEM
  ibrav = 0, nat = 6, ntyp = 3
/
ATOMIC_SPECIES
Ti 47.87 Ti.upf
Rb 85.47 Rb.upf
Sc 44.96 Sc.upf
CELL_PARAMETERS angstrom
4.3576 0.0000 0.0000
0.0000 4.3576 0.0000
0.0000 0.0000 12.7853
ATOMIC_POSITIONS crystal
Ti 0.5000 0.0000 0.3387
Ti 0.0000 0.5000 0.6613
Rb 0.0000 0.5000 0.1569
Sc 0.0000 0.0000 0.5000
Rb 0.5000 0.0000 0.8431
Sc 0.5000 0.5000 0.5000
! **Energy of formation from the pure elements**: 2.7 eV/f.u.
! **Excess energy over the best structure of this formula in the dataset**: 571 meV per atom
! **Space group**: P4/nmm

# 4
! PBE RbScTi, relaxed; values from VASP
&SYSTEM
  ibrav = 0, nat = 3, ntyp = 3
/
ATOMIC_SPECIES
Sc 44.96 Sc.upf
Rb 85.47 Rb.upf
Ti 47.87 Ti.upf
CELL_PARAMETERS angstrom
0.0612 4.2880 -3.8773
-4.8534 -3.0074 0.9076
-0.8542 2.0631 2.2681
ATOMIC_POSITIONS crystal
Sc 0.0000 0.0000 0.0000
Rb 0.6667 0.3333 0.5000
Ti 0.3333 0.6667 0.0000
! **Energy of formation from the pure elements**: 3.5 eV/f.u.
! **Excess energy over the best structure of this formula in the dataset**: 836 meV per atom
! **Space group**: P-6m2

# 5
! PBE RbSc2Ti, relaxed; values from VASP
&SYSTEM
  ibrav = 0, nat = 4, ntyp = 3
/
ATOMIC_SPECIES
Sc 44.96 Sc.upf
Ti 47.87 Ti.upf
Rb 85.47 Rb.upf
CELL_PARAMETERS angstrom
0.1788 -3.3164 4.2380
-3.2676 0.8203 4.2001
-4.0774 -3.3884 0.9408
ATOMIC_POSITIONS crystal
Sc 0.7500 0.7500 0.7500
Ti 0.0000 0.0000 0.0000
Rb 0.5000 0.5000 0.5000
Sc 0.2500 0.2500 0.2500
! **Energy of formation from the pure elements**: 3.8 eV/f.u.
! **Excess energy over the best structure of this formula in the dataset**: 0 meV per atom
! **Space group**: Fm-3m

# 6
! PBE RbScTi, relaxed; values from VASP
&SYSTEM
  ibrav = 0, nat = 12, ntyp = 3
/
ATOMIC_SPECIES
Rb 85.47 Rb.upf
Sc 44.96 Sc.upf
Ti 47.87 Ti.upf
CELL_PARAMETERS angstrom
-6.3567 -3.6549 -10.9509
1.9713 -2.4916 -0.3127
-6.3786 -5.7525 5.6225
ATOMIC_POSITIONS crystal
Rb 0.8364 0.2500 0.4213
Sc 0.0766 0.7500 0.2092
Ti 0.4327 0.2500 0.4350
Rb 0.3364 0.2500 0.0787
Rb 0.6636 0.7500 0.9213
Ti 0.5673 0.7500 0.5650
Sc 0.5766 0.7500 0.2908
Ti 0.9327 0.2500 0.0650
Sc 0.9234 0.2500 0.7908
Ti 0.0673 0.7500 0.9350
Rb 0.1636 0.7500 0.5787
Sc 0.4234 0.2500 0.7092
! **Energy of formation from the pure elements**: 2.2 eV/f.u.
! **Excess energy over the best structure of this formula in the dataset**: 433 meV per atom
! **Space group**: Pnma